# 1
A crystal of BAuBr2 relaxed with PBEsol. Source: the Alexandria database, functional SCAN.

Geometry as CIF:
```
data_BAuBr2
_chemical_formula_sum 'B4 Au4 Br8'
_symmetry_space_group_name_H-M 'I -4 2 d'
_symmetry_Int_Tables_number 122
_symmetry_space_group_name_Hall 'I -4 2bw'
_cell_length_a 5.317
_cell_length_b 5.317
_cell_length_c 14.036
_cell_angle_alpha 90.00
_cell_angle_beta 90.00
_cell_angle_gamma 90.00
loop_
_atom_site_label
_atom_site_type_symbol
_atom_site_fract_x
_atom_site_fract_y
_atom_site_fract_z
_atom_site_occupancy
B1 B 0.000 0.000 0.000 1
Au1 Au 0.000 0.000 0.500 1
Br1 Br 0.225 0.250 0.125 1
```

Properties
Raw formation energy: 986 meV per atom
Total energy: -27.890 eV/atom

***

# 2
A crystal of IrF4 relaxed with PBEsol. Source: the Alexandria database, functional SCAN.

Geometry as CIF:
```
data_IrF4
_chemical_formula_sum 'Ir8 F32'
_symmetry_space_group_name_H-M 'F d d 2'
_symmetry_Int_Tables_number 43
_symmetry_space_group_name_Hall 'F 2 -2d'
_cell_length_a 9.328
_cell_length_b 9.578
_cell_length_c 5.751
_cell_angle_alpha 90.00
_cell_angle_beta 90.00
_cell_angle_gamma 90.00
loop_
_atom_site_label
_atom_site_type_symbol
_atom_site_fract_x
_atom_site_fract_y
_atom_site_fract_z
_atom_site_occupancy
Ir1 Ir 0.000 0.000 0.000 1
F1 F 0.118 0.411 0.245 1
F2 F 0.119 0.412 0.719 1
```

Properties
Raw formation energy: -1487 meV per atom
Total energy: -18.538 eV/atom

***

# 3
A crystal of Hf2AsSeS relaxed with PBEsol. Source: the Alexandria database, functional SCAN.

Geometry as CIF:
```
data_Hf2AsSeS
_chemical_formula_sum 'Hf2 As1 Se1 S1'
_symmetry_space_group_name_H-M 'P 4/m m m'
_symmetry_Int_Tables_number 123
_symmetry_space_group_name_Hall '-P 4 2'
_cell_length_a 4.975
_cell_length_b 4.975
_cell_length_c 4.458
_cell_angle_alpha 90.00
_cell_angle_beta 90.00
_cell_angle_gamma 90.00
loop_
_atom_site_label
_atom_site_type_symbol
_atom_site_fract_x
_atom_site_fract_y
_atom_site_fract_z
_atom_site_occupancy
Hf1 Hf 0.000 0.500 0.000 1
As1 As 0.000 0.000 0.500 1
Se1 Se 0.500 0.500 0.000 1
S1 S 0.500 0.500 0.500 1
```

Properties
Raw formation energy: 446 meV per atom
Total energy: -34.603 eV/atom

***

Calculated density / g/cm³: 6.15, 6.94, 8.17
Volume / Å³/atom: 24.80, 12.84, 22.07
Magnetization / μB per formula unit: 0.0, 1.0, 0.0